*A*
This record from OQMD describes a relaxed structure of Rb2TlCuF6. The functional is PBE-GGA.

The structure in POSCAR format:
```
Rb2TlCuF6
1.0
-5.5851 -1.5433 -1.5963
-2.7310 -4.6381 2.6745
-4.5884 0.9594 3.7616
Cu F Rb Tl
1 6 2 1
Direct
0.0000 0.0000 0.0000
0.2367 0.7648 0.2347
0.7653 0.7633 0.2352
0.7648 0.2347 0.2367
0.2352 0.7653 0.7633
0.2347 0.2367 0.7648
0.7633 0.2352 0.7653
0.2500 0.2500 0.2500
0.7500 0.7500 0.7500
0.5000 0.5000 0.5000
```

*B*
This record from OQMD describes a relaxed structure of Rb2TlCuF6. The functional is PBE-GGA.

The structure in POSCAR format:
```
Rb2TlCuF6
1.0
6.0652 0.0000 0.0000
0.0000 6.0631 0.0000
-6.0622 0.0000 8.5814
Cu F Rb Tl
2 12 4 2
Direct
0.5000 0.0000 0.0000
0.5000 0.5000 0.5000
0.7328 0.7578 0.0052
0.7472 0.2277 0.0052
0.7241 0.0002 0.2348
0.2759 0.5002 0.2652
0.2528 0.7277 0.4948
0.2672 0.2578 0.4948
0.7328 0.7422 0.5052
0.7472 0.2723 0.5052
0.7241 0.4998 0.7348
0.2759 0.9998 0.7652
0.2528 0.7723 0.9948
0.2672 0.2422 0.9948
0.2493 0.9978 0.2495
0.7507 0.4978 0.2505
0.2493 0.5022 0.7495
0.7507 0.0022 0.7505
0.0000 0.5000 0.0000
0.0000 0.0000 0.5000
```

Decreasing stability: *B*, *A*

*A*
This record from OQMD describes a relaxed structure of MgHgSO. The functional is PBE-GGA.

The structure in POSCAR format:
```
MgHgSO
1.0
-0.7199 -3.3901 1.6364
3.5237 0.8016 -1.2774
2.7049 4.3425 10.1862
Hg Mg O S
2 2 2 2
Direct
0.3333 0.6666 0.2669
0.6667 0.3334 0.7669
0.0000 0.0000 0.0006
0.0000 0.0000 0.5006
0.0000 0.0000 0.3303
0.0000 0.0000 0.8303
0.6667 0.3334 0.0899
0.3333 0.6666 0.5899
```

*B*
This record from OQMD describes a relaxed structure of MgHgSO. The functional is PBE-GGA.

The structure in POSCAR format:
```
MgHgSO
1.0
7.0225 0.0000 0.0000
0.0000 11.9782 0.0000
0.0000 0.0000 6.9439
Hg Mg O S
8 8 8 8
Direct
0.5025 0.2548 0.2488
0.9975 0.7548 0.2488
0.0025 0.2548 0.2512
0.4975 0.7548 0.2512
0.5025 0.2452 0.7488
0.9975 0.7452 0.7488
0.0025 0.2452 0.7512
0.4975 0.7452 0.7512
0.7511 0.4544 0.0190
0.7489 0.9544 0.0190
0.2511 0.4544 0.4810
0.2489 0.9544 0.4810
0.7511 0.0456 0.5190
0.7489 0.5456 0.5190
0.2511 0.0456 0.9810
0.2489 0.5456 0.9810
0.7533 0.2929 0.0760
0.7467 0.7929 0.0760
0.2533 0.2929 0.4240
0.2467 0.7929 0.4240
0.7533 0.2071 0.5760
0.7467 0.7071 0.5760
0.2533 0.2071 0.9240
0.2467 0.7071 0.9240
0.0000 0.0298 0.2493
0.4999 0.5298 0.2493
0.5001 0.0298 0.2507
0.0000 0.5298 0.2507
0.0000 0.4702 0.7493
0.4999 0.9702 0.7493
0.5001 0.4702 0.7507
0.0000 0.9702 0.7507
```

Decreasing stability: *B*, *A*

*A*
This record from OQMD describes a relaxed structure of Cu7Ag3. The functional is PBE-GGA.

The structure in POSCAR format:
```
Cu7Ag3
1.0
-5.3838 -3.8853 1.0757
1.1051 -1.9735 -1.5970
4.0263 -2.3740 5.7199
Ag Cu
3 7
Direct
0.1186 0.0000 0.2696
0.4974 0.0000 0.5040
0.1694 0.5000 0.6275
0.7304 0.0000 0.0975
0.4522 0.5000 0.1900
0.8090 0.5000 0.3927
0.8485 0.0000 0.6965
0.5835 0.5000 0.8292
0.3015 0.0000 0.9316
0.9895 0.5000 0.9614
```

*B*
This record from OQMD describes a relaxed structure of Cu7Ag3. The functional is PBE-GGA.

The structure in POSCAR format:
```
Cu7Ag3
1.0
7.0091 -1.8076 0.0000
7.0091 1.8076 0.0000
-1.0645 0.0000 5.3949
Ag Cu
3 7
Direct
0.8010 0.8010 0.3999
0.5973 0.5973 0.7986
0.8026 0.8026 0.9018
0.9993 0.9993 0.0116
0.1927 0.1927 0.1090
0.4107 0.4107 0.2061
0.5972 0.5972 0.2988
0.9992 0.9992 0.4883
0.1931 0.1931 0.5838
0.4069 0.4069 0.7021
```

*C*
This record from OQMD describes a relaxed structure of Cu7Ag3. The functional is PBE-GGA.

The structure in POSCAR format:
```
Cu7Ag3
1.0
2.3263 -6.7296 0.0000
2.3263 6.7296 0.0000
-1.5713 0.0000 4.3923
Ag Cu
3 7
Direct
0.2051 0.7949 0.0000
0.4959 0.5041 0.5000
0.0995 0.9005 0.5000
0.9922 0.0078 0.0000
0.8043 0.1957 0.0000
0.6003 0.3997 0.0000
0.4012 0.5988 0.0000
0.8921 0.1079 0.5000
0.7070 0.2930 0.5000
0.3025 0.6975 0.5000
```

Decreasing stability: *A*, *B*, *C*

*A*
This record from OQMD describes a relaxed structure of TcAgNO. The functional is PBE-GGA.

The structure in POSCAR format:
```
TcAgNO
1.0
-4.1128 -2.2236 -0.4194
-0.4725 -0.1774 5.5731
-3.8826 7.2000 -0.1000
Ag N O Tc
4 4 4 4
Direct
0.9945 0.0575 0.1365
0.4945 0.4425 0.1365
0.9945 0.5575 0.8635
0.4945 0.9425 0.8635
0.9971 0.5099 0.1473
0.4971 0.9901 0.1473
0.9971 0.0099 0.8527
0.4971 0.4901 0.8527
0.6783 0.6023 0.4930
0.1783 0.8977 0.4930
0.6783 0.1023 0.5070
0.1783 0.3977 0.5070
0.0325 0.6246 0.3464
0.5325 0.8754 0.3464
0.0325 0.1246 0.6536
0.5325 0.3754 0.6536
```

*B*
This record from OQMD describes a relaxed structure of TcAgNO. The functional is PBE-GGA.

The structure in POSCAR format:
```
TcAgNO
1.0
-3.4096 -0.0569 -0.7849
0.4508 -3.0020 -1.7406
-1.3764 -3.8348 6.2574
Ag N O Tc
2 2 2 2
Direct
0.0000 0.0000 0.5000
0.5000 0.5000 0.5000
0.5000 0.0000 0.2581
0.0000 0.5000 0.7419
0.0000 0.0000 0.0000
0.5000 0.5000 0.0000
0.0000 0.5000 0.1560
0.5000 0.0000 0.8440
```

Decreasing stability: *A*, *B*

*A*
This record from OQMD describes a relaxed structure of NdBe. The functional is PBE-GGA.

The structure in POSCAR format:
```
NdBe
1.0
-0.5191 -0.4898 4.4501
-2.1230 3.1810 2.3847
-4.0863 -0.8203 1.7154
Be Nd
1 1
Direct
0.0000 0.0000 0.0000
0.2500 0.2500 0.2500
```

*B*
This record from OQMD describes a relaxed structure of NdBe. The functional is PBE-GGA.

The structure in POSCAR format:
```
NdBe
1.0
-0.8712 -0.5276 -3.4603
-2.1061 -1.3237 2.6121
-2.2892 3.6742 0.0162
Be Nd
1 1
Direct
0.6667 0.3333 0.7500
0.3333 0.6667 0.2500
```

Decreasing stability: *B*, *A*

*A*
This record from OQMD describes a relaxed structure of GdZn. The functional is PBE-GGA.

The structure in POSCAR format:
```
GdZn
1.0
-16.2829 3.8445 -4.0075
-2.1825 -5.0317 4.0607
-0.1831 3.0102 3.6316
Gd Zn
12 12
Direct
0.9337 0.0483 0.0000
0.5898 0.3555 0.0000
0.0899 0.3945 0.0000
0.4336 0.7019 0.0000
0.6378 0.8437 0.0000
0.1378 0.9064 0.0000
0.5108 0.0481 0.5000
0.8545 0.3555 0.5000
0.3546 0.3945 0.5000
0.0108 0.7017 0.5000
0.8066 0.8436 0.5000
0.3066 0.9063 0.5000
0.4121 0.1504 0.0000
0.7634 0.1513 0.0000
0.2627 0.2099 0.0000
0.7625 0.5402 0.0000
0.2634 0.5989 0.0000
0.9119 0.5999 0.0000
0.0325 0.1501 0.5000
0.6811 0.1511 0.5000
0.1819 0.2098 0.5000
0.6817 0.5401 0.5000
0.1810 0.5987 0.5000
0.5324 0.5996 0.5000
```

*B*
This record from OQMD describes a relaxed structure of GdZn. The functional is PBE-GGA.

The structure in POSCAR format:
```
GdZn
1.0
-3.0908 0.5745 -2.0411
1.2056 -3.6904 -2.8644
-2.5195 -3.1058 2.9410
Gd Zn
2 2
Direct
0.4337 0.5000 0.0000
0.3997 0.0000 0.5000
0.9204 0.0000 0.0000
0.9130 0.5000 0.5000
```

Decreasing stability: *B*, *A*

*A*
This record from OQMD describes a relaxed structure of SmHgNO. The functional is PBE-GGA.

The structure in POSCAR format:
```
SmHgNO
1.0
3.9397 0.0000 0.0000
0.0000 6.2335 0.0000
0.0000 0.0000 6.5562
Hg N O Sm
2 2 2 2
Direct
0.0000 0.5605 0.4393
0.0000 0.0605 0.5607
0.0000 0.8589 0.2983
0.0000 0.3589 0.7017
0.5000 0.3436 0.1514
0.5000 0.8436 0.8486
0.5000 0.9910 0.1470
0.5000 0.4910 0.8530
```

*B*
This record from OQMD describes a relaxed structure of SmHgNO. The functional is PBE-GGA.

The structure in POSCAR format:
```
SmHgNO
1.0
-2.3755 -6.2263 -0.3913
3.3500 -1.6940 6.6167
-4.7243 1.6259 2.8082
Hg N O Sm
4 4 4 4
Direct
0.5787 0.1565 0.0119
0.0787 0.8435 0.0119
0.9213 0.1565 0.5118
0.4213 0.8435 0.5118
0.4024 0.3898 0.0964
0.9024 0.6102 0.0964
0.0976 0.3898 0.5964
0.5976 0.6102 0.5964
0.9063 0.1043 0.0932
0.4063 0.8957 0.0932
0.5937 0.1043 0.5932
0.0937 0.8957 0.5932
0.0690 0.3532 0.0009
0.5690 0.6468 0.0009
0.4310 0.3532 0.5009
0.9310 0.6468 0.5009
```

Decreasing stability: *A*, *B*

*A*
This record from OQMD describes a relaxed structure of DyHoAsO. The functional is PBE-GGA.

The structure in POSCAR format:
```
DyHoAsO
1.0
-3.6754 0.0912 -1.8816
-3.4927 -0.4591 6.8002
-0.0449 5.8183 0.3698
As Dy Ho O
2 2 2 2
Direct
0.0000 0.8448 0.4290
0.0000 0.1552 0.9290
0.5000 0.3851 0.0050
0.5000 0.6149 0.5050
0.0000 0.2121 0.4386
0.0000 0.7879 0.9386
0.5000 0.3280 0.3814
0.5000 0.6720 0.8814
```

*B*
This record from OQMD describes a relaxed structure of DyHoAsO. The functional is PBE-GGA.

The structure in POSCAR format:
```
DyHoAsO
1.0
-2.5304 3.4467 -0.6170
-1.9097 -1.9966 -3.3211
-5.9319 -3.3805 5.4432
As Dy Ho O
2 2 2 2
Direct
0.0000 0.5000 0.2920
0.5000 0.0000 0.7080
0.0000 0.0000 0.5000
0.5000 0.5000 0.5000
0.5000 0.0000 0.0990
0.0000 0.5000 0.9010
0.0000 0.0000 0.0000
0.5000 0.5000 0.0000
```

Decreasing stability: *A*, *B*

*A*
This record from OQMD describes a relaxed structure of AlOsNO. The functional is PBE-GGA.

The structure in POSCAR format:
```
AlOsNO
1.0
5.0556 0.0000 0.0000
0.0000 2.9591 0.0000
0.0000 0.0000 5.7364
Al N O Os
2 2 2 2
Direct
0.5254 0.0000 0.3587
0.0254 0.0000 0.6413
0.8906 0.0000 0.3366
0.3906 0.0000 0.6634
0.3619 0.5000 0.2551
0.8619 0.5000 0.7449
0.9761 0.5000 0.0927
0.4761 0.5000 0.9073
```

*B*
This record from OQMD describes a relaxed structure of AlOsNO. The functional is PBE-GGA.

The structure in POSCAR format:
```
AlOsNO
1.0
-1.6104 3.2954 0.2419
-1.8817 -1.1358 2.9463
5.5668 2.3917 4.4774
Al N O Os
2 2 2 2
Direct
0.0000 0.0000 0.5000
0.5000 0.5000 0.5000
0.5000 0.0000 0.4299
0.0000 0.5000 0.5701
0.0000 0.0000 0.0000
0.5000 0.5000 0.0000
0.0000 0.5000 0.1176
0.5000 0.0000 0.8824
```

Decreasing stability: *A*, *B*

*A*
This record from OQMD describes a relaxed structure of SrPa. The functional is PBE-GGA.

The structure in POSCAR format:
```
SrPa
1.0
0.0000 3.4206 3.4206
3.4206 0.0000 3.4206
3.4206 3.4206 0.0000
Pa Sr
1 1
Direct
0.0000 0.0000 0.0000
0.2500 0.2500 0.2500
```

*B*
This record from OQMD describes a relaxed structure of SrPa. The functional is PBE-GGA.

The structure in POSCAR format:
```
SrPa
1.0
0.0000 3.3197 3.3197
3.3197 0.0000 3.3197
3.3197 3.3197 0.0000
Pa Sr
1 1
Direct
0.0000 0.0000 0.0000
0.5000 0.5000 0.5000
```

Decreasing stability: *B*, *A*